Entry from Alexandria: a relaxed structure of Tb2Dy3PuS6 (PBE).

Lattice parameters (Å, degrees): 8.766 8.766 7.867 103.01 103.01 25.73
Fractional positions:
Tb 0.164 0.164 0.329
Tb 0.836 0.836 0.671
Dy 0.166 0.166 0.836
Dy 0.500 0.500 0.500
Dy 0.834 0.834 0.164
Pu 0.500 0.500 0.000
S 0.001 0.001 0.747
S 0.332 0.332 0.917
S 0.333 0.333 0.415
S 0.667 0.667 0.585
S 0.668 0.668 0.083
S 0.999 0.999 0.253

- ρ (g/cm³) = 8.07
- symmetry = C2/m
- raw formation energy (eV/atom) = -1.98
- magnetization (μB per formula unit) = 5.90

=====

Entry from Alexandria: a relaxed structure of Tb2Y4S9 (PBE).

Lattice parameters (Å, degrees): 6.930 6.930 18.566 90.00 90.00 120.00
Fractional positions:
Tb 0.000 0.000 0.149
Tb 0.000 0.000 0.351
Tb 0.000 0.000 0.649
Tb 0.000 0.000 0.851
Y 0.333 0.667 0.184
Y 0.333 0.667 0.483
Y 0.333 0.667 0.684
Y 0.333 0.667 0.983
Y 0.667 0.333 0.017
Y 0.667 0.333 0.316
Y 0.667 0.333 0.517
Y 0.667 0.333 0.816
S 0.000 0.301 0.250
S 0.000 0.699 0.750
S 0.032 0.367 0.583
S 0.032 0.665 0.083
S 0.301 0.000 0.250
S 0.301 0.301 0.750
S 0.335 0.367 0.083
S 0.335 0.968 0.583
S 0.367 0.032 0.917
S 0.367 0.335 0.417
S 0.633 0.665 0.583
S 0.633 0.968 0.083
S 0.665 0.032 0.417
S 0.665 0.633 0.917
S 0.699 0.000 0.750
S 0.699 0.699 0.250
S 0.968 0.335 0.917
S 0.968 0.633 0.417

- ρ (g/cm³) = 4.14
- symmetry = P-3c1
- raw formation energy (eV/atom) = -2.06
- magnetization (μB per formula unit) = 0.00

=====

Entry from Alexandria: a relaxed structure of K2LiIr (PBE).

Lattice parameters (Å, degrees): 3.475 3.475 9.761 90.00 90.00 90.00
Fractional positions:
K 0.000 0.000 0.000
K 0.500 0.500 0.440
Li 0.000 0.000 0.694
Ir 0.500 0.500 0.764

- energy of formation (eV/atom) = 0.475
- ρ (g/cm³) = 3.91
- symmetry = P4mm
- magnetization (μB per formula unit) = 0.00